1.
RbReP3 GGA-PBE optimized geometry; total moment = 0.00 μB per cell; space-group type = Pm-3m; DFT formation energy = 0.270 eV per atom; E_tot = -5.659 eV/atom; ΔE to the lowest computed polymorph = 0 meV/atom
1.0
4.774 0.000 0.000
0.000 4.774 0.000
0.000 0.000 4.774
Rb Re P
1 1 3
direct
0.000 0.000 0.000
0.500 0.500 0.500
0.000 0.500 0.500
0.500 0.000 0.500
0.500 0.500 0.000



2.
KTl2Cd2 GGA-PBE optimized geometry; total moment = 0.00 μB per cell; space-group type = I4/mmm; DFT formation energy = -0.050 eV per atom; E_tot = -1.582 eV/atom; ΔE to the lowest computed polymorph = 4 meV/atom
1.0
-2.572 2.572 6.225
2.572 -2.572 6.225
2.572 2.572 -6.225
K Tl Cd
1 2 2
direct
0.000 0.000 0.000
0.250 0.750 0.500
0.750 0.250 0.500
0.386 0.386 0.000
0.614 0.614 0.000



3.
HgH2SBr2 GGA-PBE optimized geometry; total moment = 0.00 μB per cell; space-group type = Cmc2_1; E_tot = -2.692 eV/atom
1.0
7.313 -3.910 0.000
7.313 3.910 0.000
0.000 0.000 7.143
Hg H S Br
2 4 2 4
direct
0.223 0.777 0.500
0.777 0.223 0.000
0.157 0.708 0.009
0.292 0.843 0.009
0.708 0.157 0.509
0.843 0.292 0.509
0.326 0.674 0.075
0.674 0.326 0.575
0.037 0.631 0.536
0.369 0.963 0.536
0.631 0.037 0.036
0.963 0.369 0.036



4.
Si2HgMo GGA-PBE optimized geometry; total moment = 0.00 μB per cell; space-group type = R3m; E_tot = -5.025 eV/atom
1.0
1.438 0.830 9.992
-1.438 0.830 9.992
0.000 -1.661 9.992
Si Hg Mo
2 1 1
direct
0.000 0.000 0.000
0.266 0.266 0.266
0.488 0.488 0.488
0.734 0.734 0.734